(1)
VASP calculation (PBE) on an optimized crystal structure of ZnWIN2.

Values from the calculation:
volume: 18.4 A^3/atom
formation energy without anion corrections: 538.7 meV/atom
total magnetic moment: 0.00 μB per formula unit
ΔE to the lowest computed polymorph: 0.000 eV per atom
uncorrected energy: -5.947 eV per atom

Unit cell a=3.965 b=3.965 c=5.839 alpha=90.00 beta=90.00 gamma=90.00
Fractional coordinates of all 5 atoms:
I 0.000 0.000 0.500
Zn 0.500 0.500 0.500
W 0.000 0.000 0.000
N 0.000 0.500 0.000
N 0.500 0.000 0.000

***

(2)
VASP calculation (PBE) on an optimized crystal structure of BaSrAu.

Values from the calculation:
volume: 40.8 A^3/atom
total magnetic moment: 0.00 μB per formula unit
ΔE to the lowest computed polymorph: 0.039 eV per atom
uncorrected energy: -2.771 eV per atom
formation energy: -0.477 eV per atom

Unit cell a=5.575 b=5.575 c=5.575 alpha=60.00 beta=60.00 gamma=60.00
Fractional coordinates of all 3 atoms:
Sr 0.500 0.500 0.500
Au 0.750 0.750 0.750
Ba 0.000 0.000 0.000